# PBE Fe3Ni4H, relaxed
# Crystal system   tetragonal
# Fermi-level density of states   0.552 states/eV/atom
# VASP energy   -6.5243 eV/atom
data_Fe3Ni4H
_chemical_formula_sum 'Fe6 Ni8 H2'
_symmetry_space_group_name_H-M 'I 4/m m m'
_symmetry_Int_Tables_number 139
_symmetry_space_group_name_Hall '-I 4 2'
_cell_length_a 2.539
_cell_length_b 2.539
_cell_length_c 25.034
_cell_angle_alpha 90.00
_cell_angle_beta 90.00
_cell_angle_gamma 90.00
loop_
_atom_site_label
_atom_site_type_symbol
_atom_site_fract_x
_atom_site_fract_y
_atom_site_fract_z
_atom_site_occupancy
Fe1 Fe 0.000 0.000 0.000 1
Fe2 Fe 0.000 0.000 0.145 1
Ni1 Ni 0.000 0.000 0.285 1
Ni2 Ni 0.000 0.000 0.425 1
H1 H 0.000 0.000 0.500 1